Compound: KTcBr2
Source: Alexandria
Functional: GGA-PBEsol
Structure: relaxed

Computed properties:
Energy relative to the elements, uncorrected, eV/atom: 0.2402
E above lowest polymorph, meV per atom: 355
E, eV/atom: -3.795

Cell lengths 4.1279, 4.1279, 12.9313 Å; angles 90.00, 90.00, 90.00 degrees
Space group I-4m2 (No. 119)
Asymmetric unit:
1 K 0.0000 0.0000 0.0000
2 Tc 0.0000 0.5000 0.2500
3 Br 0.0000 0.0000 0.5000
4 Br 0.0000 0.5000 0.7500